Entry one
# Sc2TlAg2 PBE-GGA optimized geometry
# calculated volume	24.31	Å³ per atom
# theoretical density	7.0	Mg/m³
# total moment	0.00	μB per formula unit
data_Sc2TlAg2
_cell_length_a 6.5315
_cell_length_b 6.5315
_cell_length_c 6.5315
_cell_angle_alpha 138.40
_cell_angle_beta 138.40
_cell_angle_gamma 60.29
_space_group_name_H-M_alt 'P 1'
_space_group_IT_number 1
_space_group_name_Hall 'P 1'
loop_
_atom_site_label
_atom_site_fract_x
_atom_site_fract_y
_atom_site_fract_z
_atom_site_occupancy
Sc1 0.2500 0.7500 0.5000 1
Sc2 0.7500 0.2500 0.5000 1
Tl1 0.0000 0.0000 0.0000 1
Ag1 0.3850 0.3850 0.0000 1
Ag2 0.6150 0.6150 0.0000 1

=====

Entry two
# Sc2TlAg2 PBE-GGA optimized geometry
# calculated volume	22.38	Å³ per atom
# theoretical density	7.6	Mg/m³
# total moment	0.00	μB per formula unit
data_Sc2TlAg2
_cell_length_a 8.1213
_cell_length_b 8.1213
_cell_length_c 3.3925
_cell_angle_alpha 90.00
_cell_angle_beta 90.00
_cell_angle_gamma 90.00
_space_group_name_H-M_alt 'P 1'
_space_group_IT_number 1
_space_group_name_Hall 'P 1'
loop_
_atom_site_label
_atom_site_fract_x
_atom_site_fract_y
_atom_site_fract_z
_atom_site_occupancy
Sc1 0.1574 0.3426 0.0000 1
Sc2 0.3426 0.8426 0.0000 1
Sc3 0.6574 0.1574 0.0000 1
Sc4 0.8426 0.6574 0.0000 1
Tl1 0.0000 0.0000 0.0000 1
Tl2 0.5000 0.5000 0.0000 1
Ag1 0.1327 0.6327 0.5000 1
Ag2 0.3673 0.1327 0.5000 1
Ag3 0.6327 0.8673 0.5000 1
Ag4 0.8673 0.3673 0.5000 1

=====

Entry three
# Sc2TlAg2 PBE-GGA optimized geometry
# calculated volume	21.28	Å³ per atom
# theoretical density	8.0	Mg/m³
# total moment	0.00	μB per formula unit
data_Sc2TlAg2
_cell_length_a 7.8174
_cell_length_b 7.8174
_cell_length_c 3.4820
_cell_angle_alpha 90.00
_cell_angle_beta 90.00
_cell_angle_gamma 90.00
_space_group_name_H-M_alt 'P 1'
_space_group_IT_number 1
_space_group_name_Hall 'P 1'
loop_
_atom_site_label
_atom_site_fract_x
_atom_site_fract_y
_atom_site_fract_z
_atom_site_occupancy
Sc1 0.1670 0.3330 0.0000 1
Sc2 0.3330 0.8330 0.0000 1
Sc3 0.6670 0.1670 0.0000 1
Sc4 0.8330 0.6670 0.0000 1
Tl1 0.0000 0.0000 0.5000 1
Tl2 0.5000 0.5000 0.5000 1
Ag1 0.1276 0.6276 0.5000 1
Ag2 0.3724 0.1276 0.5000 1
Ag3 0.6276 0.8724 0.5000 1
Ag4 0.8724 0.3724 0.5000 1

=====

What should be chosen as the least stable of them? Choose entry one.

=====

Entry one
# Sc3TlAg PBE-GGA optimized geometry
# calculated volume	24.56	Å³ per atom
# theoretical density	6.0	Mg/m³
# total moment	0.00	μB per formula unit
data_Sc3TlAg
_cell_length_a 7.4570
_cell_length_b 7.4570
_cell_length_c 5.1002
_cell_angle_alpha 90.00
_cell_angle_beta 90.00
_cell_angle_gamma 120.00
_space_group_name_H-M_alt 'P 1'
_space_group_IT_number 1
_space_group_name_Hall 'P 1'
loop_
_atom_site_label
_atom_site_fract_x
_atom_site_fract_y
_atom_site_fract_z
_atom_site_occupancy
Sc1 0.1943 0.3886 0.2500 1
Sc2 0.1943 0.8057 0.2500 1
Sc3 0.3886 0.1943 0.7500 1
Sc4 0.6114 0.8057 0.2500 1
Sc5 0.8057 0.1943 0.7500 1
Sc6 0.8057 0.6114 0.7500 1
Tl1 0.3333 0.6667 0.7500 1
Tl2 0.6667 0.3333 0.2500 1
Ag1 0.0000 0.0000 0.0000 1
Ag2 0.0000 0.0000 0.5000 1

=====

Entry two
# Sc3TlAg PBE-GGA optimized geometry
# calculated volume	22.50	Å³ per atom
# theoretical density	6.6	Mg/m³
# total moment	1.50	μB per formula unit
data_Sc3TlAg
_cell_length_a 9.5696
_cell_length_b 9.5696
_cell_length_c 4.9332
_cell_angle_alpha 90.00
_cell_angle_beta 90.00
_cell_angle_gamma 150.12
_space_group_name_H-M_alt 'P 1'
_space_group_IT_number 1
_space_group_name_Hall 'P 1'
loop_
_atom_site_label
_atom_site_fract_x
_atom_site_fract_y
_atom_site_fract_z
_atom_site_occupancy
Sc1 0.0563 0.9437 0.7500 1
Sc2 0.2497 0.7503 0.7500 1
Sc3 0.4428 0.5572 0.7500 1
Sc4 0.5572 0.4428 0.2500 1
Sc5 0.7503 0.2497 0.2500 1
Sc6 0.9437 0.0563 0.2500 1
Tl1 0.1530 0.8470 0.2500 1
Tl2 0.8470 0.1530 0.7500 1
Ag1 0.3496 0.6504 0.2500 1
Ag2 0.6504 0.3496 0.7500 1

=====

Entry three
# Sc3TlAg PBE-GGA optimized geometry
# calculated volume	27.61	Å³ per atom
# theoretical density	5.4	Mg/m³
# total moment	0.00	μB per formula unit
data_Sc3TlAg
_cell_length_a 5.1683
_cell_length_b 5.1683
_cell_length_c 5.1683
_cell_angle_alpha 90.00
_cell_angle_beta 90.00
_cell_angle_gamma 90.00
_space_group_name_H-M_alt 'P 1'
_space_group_IT_number 1
_space_group_name_Hall 'P 1'
loop_
_atom_site_label
_atom_site_fract_x
_atom_site_fract_y
_atom_site_fract_z
_atom_site_occupancy
Sc1 0.0000 0.0000 0.5000 1
Sc2 0.0000 0.5000 0.0000 1
Sc3 0.5000 0.0000 0.0000 1
Tl1 0.5000 0.5000 0.5000 1
Ag1 0.0000 0.0000 0.0000 1

=====

What should be chosen as the least stable of them? Choose entry three.